# 1
First-principles (PBE-GGA) data for Hf8MgN8O4 after structural relaxation, as listed in the Alexandria database.

Properties
Energy relative to the elements, uncorrected (eV per atom): -1.97
Excess energy over the best structure of this formula in the dataset (meV/atom): 66

a = 5.4044 Å, b = 5.4690 Å, c = 10.6746 Å
α = 89.13°, β = 75.46°, γ = 60.70°
Positions (direct):
Hf: 0.0000 0.0000 0.0000
Hf: 0.0095 0.4974 0.5288
Hf: 0.1748 0.4382 0.2165
Hf: 0.1939 0.9103 0.7152
Hf: 0.4535 0.7874 0.2915
Hf: 0.4691 0.2989 0.7943
Hf: 0.6691 0.1592 0.5090
Hf: 0.7044 0.6300 0.9764
Mg: 0.7958 0.1071 0.2541
N: 0.0479 0.7822 0.3692
N: 0.0806 0.2746 0.8734
N: 0.2748 0.5113 0.6344
N: 0.3796 0.1689 0.3776
N: 0.3889 0.6726 0.8775
N: 0.5776 0.4064 0.1279
N: 0.8475 0.7532 0.1349
N: 0.8815 0.2219 0.6332
O: 0.2158 0.0466 0.1462
O: 0.5954 0.8808 0.6253
O: 0.7513 0.4483 0.3721
O: 0.7793 0.9519 0.8726

---

# 2
First-principles (PBE-GGA) data for HfMgN2O after structural relaxation, as listed in the Alexandria database.

Properties
Energy relative to the elements, uncorrected (eV per atom): -0.66

a = 4.1738 Å, b = 4.1738 Å, c = 4.0702 Å
α = 90.00°, β = 90.00°, γ = 90.00°
Positions (direct):
Hf: 0.0000 0.0000 0.0000
Mg: 0.5000 0.5000 0.5000
N: 0.0000 0.5000 0.0000
N: 0.5000 0.0000 0.0000
O: 0.0000 0.0000 0.5000

---

# 3
First-principles (PBE-GGA) data for Hf8MgN8O4 after structural relaxation, as listed in the Alexandria database.

Properties
Energy relative to the elements, uncorrected (eV per atom): -2.04
Excess energy over the best structure of this formula in the dataset (meV/atom): 0

a = 5.4416 Å, b = 5.4955 Å, c = 10.2917 Å
α = 79.50°, β = 83.73°, γ = 60.59°
Positions (direct):
Hf: 0.0000 0.0000 0.0000
Hf: 0.0066 0.4431 0.7565
Hf: 0.0272 0.5083 0.4607
Hf: 0.3394 0.3564 0.9995
Hf: 0.3669 0.9300 0.2472
Hf: 0.3746 0.8066 0.5458
Hf: 0.6785 0.1004 0.7280
Hf: 0.6972 0.2486 0.2772
Mg: 0.6927 0.6615 0.0043
N: 0.0229 0.2656 0.1269
N: 0.3310 0.4472 0.6207
N: 0.3615 0.1758 0.3793
N: 0.6506 0.5631 0.3842
N: 0.6692 0.9888 0.1242
N: 0.6959 0.3482 0.8763
N: 0.7185 0.7694 0.6231
N: 0.9956 0.7217 0.8768
O: 0.0124 0.1544 0.6202
O: 0.0324 0.8798 0.3756
O: 0.3568 0.0620 0.8770
O: 0.3798 0.6255 0.1220

---

# 4
First-principles (PBE-GGA) data for Hf8MgN8O4 after structural relaxation, as listed in the Alexandria database.

Properties
Energy relative to the elements, uncorrected (eV per atom): -1.98
Excess energy over the best structure of this formula in the dataset (meV/atom): 59

a = 5.4649 Å, b = 5.4715 Å, c = 10.3913 Å
α = 89.89°, β = 86.57°, γ = 60.62°
Positions (direct):
Hf: 0.0000 0.0000 0.0000
Hf: 0.0108 0.9246 0.7094
Hf: 0.0808 0.9128 0.2969
Hf: 0.3325 0.2817 0.7716
Hf: 0.3563 0.2798 0.4698
Hf: 0.6280 0.6570 0.9412
Hf: 0.6724 0.6228 0.5417
Hf: 0.7159 0.6395 0.2382
Mg: 0.3406 0.2268 0.1459
N: 0.0578 0.5684 0.6139
N: 0.0847 0.2865 0.3343
N: 0.2829 0.6642 0.8550
N: 0.3491 0.9788 0.6233
N: 0.3566 0.8106 0.1205
N: 0.4482 0.5777 0.3845
N: 0.6818 0.9796 0.8694
N: 0.7716 0.9748 0.1642
O: 0.6601 0.2723 0.6230
O: 0.7347 0.8867 0.4078
O: 0.9430 0.3958 0.0722
O: 0.9673 0.2800 0.8394

---

# 5
First-principles (PBE-GGA) data for Hf8MgN8O4 after structural relaxation, as listed in the Alexandria database.

Properties
Energy relative to the elements, uncorrected (eV per atom): -1.96
Excess energy over the best structure of this formula in the dataset (meV/atom): 83

a = 5.6008 Å, b = 5.6460 Å, c = 10.9706 Å
α = 102.34°, β = 92.15°, γ = 119.17°
Positions (direct):
Hf: 0.0000 0.0000 0.0000
Hf: 0.0521 0.1277 0.2756
Hf: 0.3128 0.6649 0.0003
Hf: 0.3673 0.7708 0.2793
Hf: 0.5781 0.5055 0.7218
Hf: 0.6600 0.3645 0.0412
Hf: 0.7672 0.5414 0.4228
Hf: 0.8552 0.1095 0.5851
Mg: 0.2359 0.8443 0.7180
N: 0.0550 0.7646 0.1350
N: 0.0955 0.5154 0.3725
N: 0.3072 0.9623 0.9158
N: 0.3506 0.4129 0.1420
N: 0.5502 0.1378 0.6573
N: 0.6282 0.6058 0.9176
N: 0.7659 0.8947 0.3875
N: 0.8543 0.7571 0.6195
O: 0.2117 0.4661 0.6718
O: 0.4062 0.1705 0.3674
O: 0.6923 0.0491 0.1336
O: 0.9501 0.2910 0.9303

---

# 6
First-principles (PBE-GGA) data for Hf8MgN8O4 after structural relaxation, as listed in the Alexandria database.

Properties
Energy relative to the elements, uncorrected (eV per atom): -1.98
Excess energy over the best structure of this formula in the dataset (meV/atom): 61

a = 5.4222 Å, b = 5.5258 Å, c = 10.4171 Å
α = 83.73°, β = 87.95°, γ = 62.01°
Positions (direct):
Hf: 0.0000 0.0000 0.0000
Hf: 0.0041 0.0340 0.6988
Hf: 0.2913 0.4594 0.4634
Hf: 0.3307 0.3881 0.7629
Hf: 0.6365 0.7793 0.5293
Hf: 0.6414 0.8733 0.2289
Hf: 0.6772 0.6977 0.9297
Hf: 0.9873 0.1758 0.3147
Mg: 0.3327 0.4791 0.1636
N: 0.0237 0.7101 0.6140
N: 0.2986 0.7368 0.8416
N: 0.3109 0.1255 0.6098
N: 0.3479 0.7920 0.3689
N: 0.6877 0.0526 0.8540
N: 0.7623 0.2027 0.1522
N: 0.9186 0.5505 0.3710
N: 0.9359 0.6785 0.0795
O: 0.0018 0.3416 0.8594
O: 0.3982 0.8157 0.0864
O: 0.6322 0.4190 0.6201
O: 0.6678 0.1048 0.4047